A plane-wave DFT calculation with PBE was carried out for crystalline Ta4CrTc3 at its relaxed geometry.

Cell lengths 3.1685, 3.1685, 12.6778 Å; angles 90.00, 90.00, 90.00 degrees
With the nearest neighbours (Å) after each atom.
Element x y z (fractional)
Cr  0.5000  0.5000  0.0000  8 Ta 2.71
Tc  0.5000  0.5000  0.2482  8 Ta 2.74-2.76
Tc  0.5000  0.5000  0.5000  8 Ta 2.76
Tc  0.5000  0.5000  0.7518  8 Ta 2.74-2.76
Ta  0.0000  0.0000  0.8794  4 Cr 2.71, 4 Tc 2.76
Ta  0.0000  0.0000  0.1206  4 Cr 2.71, 4 Tc 2.76
Ta  0.0000  0.0000  0.3732  8 Tc 2.74-2.76
Ta  0.0000  0.0000  0.6268  8 Tc 2.74-2.76

Results
Volume ... 127.28 Å³ per cell
Magnetization ... 0.043 μB/atom
E ... -0.4190 Ha/atom